# 1
## Sm2CrTcN5 (PBE)

Data for crystalline Sm2CrTcN5 at its relaxed geometry.

Values from the calculation:
raw formation energy = -0.7727 eV per atom
calculated total energy = -0.3185 hartree per atom

a b c (Å): 3.3232 13.7846 9.7300
angles (deg): 90.00 90.00 90.00
Space group Cmc2_1 (No. 36)
One atom of each set of equivalent atoms:
Sm  0.0000  0.1246  0.0000 x4
Sm  0.0000  0.1326  0.6346 x4
Cr  0.0000  0.4402  0.7667 x4
Tc  0.0000  0.2012  0.3388 x4
N  0.0000  0.0377  0.3499 x4
N  0.0000  0.3021  0.9650 x4
N  0.0000  0.3154  0.6891 x4
N  0.0000  0.3428  0.3249 x4
N  0.0000  0.4967  0.6112 x4

# 2
## BeCdTc2C (PBE)

Data for crystalline BeCdTc2C at its relaxed geometry.

Values from the calculation:
calculated total energy = -0.2287 hartree per atom
formation energy = 0.695 eV per atom

a b c (Å): 4.0344 4.0344 4.3920
angles (deg): 90.00 90.00 90.00
Space group P4/mmm (No. 123)
One atom of each set of equivalent atoms:
Be  0.0000  0.0000  0.0000 x1
Cd  0.5000  0.5000  0.0000 x1
Tc  0.0000  0.5000  0.5000 x2
C  0.5000  0.5000  0.5000 x1